A PBEsol-optimized structure of Nd2ReC2. Source: Alexandria via LeMat-Bulk, functional meta-GGA SCAN.

Unit cell a=5.299 b=6.651 c=10.082 alpha=90.00 beta=90.00 gamma=90.00
Fractional coordinates of all 20 atoms:
C (0.750, 0.965, 0.258)
C (0.750, 0.815, 0.960)
C (0.750, 0.465, 0.242)
C (0.750, 0.315, 0.540)
C (0.250, 0.035, 0.742)
C (0.250, 0.185, 0.040)
C (0.250, 0.685, 0.460)
C (0.250, 0.535, 0.758)
Re (0.750, 0.229, 0.359)
Re (0.250, 0.271, 0.859)
Re (0.750, 0.729, 0.141)
Re (0.250, 0.771, 0.641)
Nd (0.750, 0.689, 0.450)
Nd (0.250, 0.811, 0.950)
Nd (0.750, 0.526, 0.786)
Nd (0.250, 0.974, 0.286)
Nd (0.750, 0.026, 0.714)
Nd (0.250, 0.474, 0.214)
Nd (0.750, 0.189, 0.050)
Nd (0.250, 0.311, 0.550)

Fermi-level density of states ... 0.34 states/eV per atom
DFT total energy ... -36.069 eV/atom
Calculated volume ... 355 Å³ per cell
E_form ... -376 meV/atom